1.
Compound: ZrAlO2F
Source: Alexandria
Functional: PBE
Structure: optimized geometry

Structure (CIF):
```
data_ZrAlO2F
_chemical_formula_sum 'Zr1 Al1 O2 F1'
_space_group_name_H-M_alt 'P 1'
_space_group_IT_number 1
_cell_length_a 3.844
_cell_length_b 3.844
_cell_length_c 3.599
_cell_angle_alpha 90.00
_cell_angle_beta 90.00
_cell_angle_gamma 90.00
loop_
_space_group_symop_operation_xyz
'x,y,z'
loop_
_atom_site_label
_atom_site_type_symbol
_atom_site_fract_x
_atom_site_fract_y
_atom_site_fract_z
_atom_site_occupancy
F1 F 0.000 0.000 0.500 1
Zr1 Zr 0.500 0.500 0.500 1
O1 O 0.000 0.500 0.000 1
O2 O 0.500 0.000 0.000 1
Al1 Al 0.000 0.000 0.000 1
```

***

2.
Compound: ZrAlO2F
Source: Alexandria
Functional: PBE
Structure: optimized geometry

Structure (CIF):
```
data_ZrAlO2F
_chemical_formula_sum 'Zr1 Al1 O2 F1'
_space_group_name_H-M_alt 'P 1'
_space_group_IT_number 1
_cell_length_a 4.175
_cell_length_b 4.175
_cell_length_c 4.324
_cell_angle_alpha 90.00
_cell_angle_beta 90.00
_cell_angle_gamma 90.00
loop_
_space_group_symop_operation_xyz
'x,y,z'
loop_
_atom_site_label
_atom_site_type_symbol
_atom_site_fract_x
_atom_site_fract_y
_atom_site_fract_z
_atom_site_occupancy
Al1 Al 0.500 0.500 0.500 1
F1 F 0.000 0.000 0.500 1
Zr1 Zr 0.000 0.000 0.000 1
O1 O 0.000 0.500 0.000 1
O2 O 0.500 0.000 0.000 1
```

***

3.
Compound: Al2OsF
Source: Alexandria
Functional: PBE
Structure: optimized geometry

Structure (CIF):
```
data_Al2OsF
_chemical_formula_sum 'Al2 Os1 F1'
_space_group_name_H-M_alt 'P 1'
_space_group_IT_number 1
_cell_length_a 4.301
_cell_length_b 4.301
_cell_length_c 4.301
_cell_angle_alpha 60.00
_cell_angle_beta 60.00
_cell_angle_gamma 60.00
loop_
_space_group_symop_operation_xyz
'x,y,z'
loop_
_atom_site_label
_atom_site_type_symbol
_atom_site_fract_x
_atom_site_fract_y
_atom_site_fract_z
_atom_site_occupancy
Os1 Os 0.500 0.500 0.500 1
Al1 Al 0.250 0.250 0.250 1
F1 F 0.000 0.000 0.000 1
Al2 Al 0.750 0.750 0.750 1
```

***

4.
Compound: Al3OsF
Source: Alexandria
Functional: PBE
Structure: optimized geometry

Structure (CIF):
```
data_Al3OsF
_chemical_formula_sum 'Al3 Os1 F1'
_space_group_name_H-M_alt 'P 1'
_space_group_IT_number 1
_cell_length_a 4.083
_cell_length_b 4.083
_cell_length_c 4.083
_cell_angle_alpha 90.00
_cell_angle_beta 90.00
_cell_angle_gamma 90.00
loop_
_space_group_symop_operation_xyz
'x,y,z'
loop_
_atom_site_label
_atom_site_type_symbol
_atom_site_fract_x
_atom_site_fract_y
_atom_site_fract_z
_atom_site_occupancy
Al1 Al 0.500 0.000 0.000 1
Al2 Al 0.000 0.000 0.500 1
Al3 Al 0.000 0.500 0.000 1
F1 F 0.000 0.000 0.000 1
Os1 Os 0.500 0.500 0.500 1
```

***

5.
Compound: Al2OsF
Source: Alexandria
Functional: PBE
Structure: optimized geometry

Structure (CIF):
```
data_Al2OsF
_chemical_formula_sum 'Al4 Os2 F2'
_space_group_name_H-M_alt 'P 1'
_space_group_IT_number 1
_cell_length_a 4.828
_cell_length_b 4.828
_cell_length_c 6.644
_cell_angle_alpha 68.69
_cell_angle_beta 68.69
_cell_angle_gamma 90.00
loop_
_space_group_symop_operation_xyz
'x,y,z'
loop_
_atom_site_label
_atom_site_type_symbol
_atom_site_fract_x
_atom_site_fract_y
_atom_site_fract_z
_atom_site_occupancy
Al1 Al 0.557 0.125 0.250 1
Al2 Al 0.375 0.443 0.750 1
Al3 Al 0.193 0.625 0.250 1
Al4 Al 0.875 0.807 0.750 1
F1 F 0.250 0.750 0.500 1
Os1 Os 0.000 0.000 0.000 1
Os2 Os 0.750 0.250 0.500 1
F2 F 0.500 0.500 0.000 1
```

***

6.
Compound: Al3OsF
Source: Alexandria
Functional: PBE
Structure: optimized geometry

Structure (CIF):
```
data_Al3OsF
_chemical_formula_sum 'Al3 Os1 F1'
_space_group_name_H-M_alt 'P 1'
_space_group_IT_number 1
_cell_length_a 4.730
_cell_length_b 4.730
_cell_length_c 4.730
_cell_angle_alpha 90.00
_cell_angle_beta 90.00
_cell_angle_gamma 90.00
loop_
_space_group_symop_operation_xyz
'x,y,z'
loop_
_atom_site_label
_atom_site_type_symbol
_atom_site_fract_x
_atom_site_fract_y
_atom_site_fract_z
_atom_site_occupancy
Al1 Al 0.500 0.000 0.000 1
F1 F 0.500 0.500 0.500 1
Os1 Os 0.000 0.000 0.000 1
Al2 Al 0.000 0.500 0.000 1
Al3 Al 0.000 0.000 0.500 1
```

***

7.
Compound: AlP2OsF
Source: Alexandria
Functional: PBE
Structure: optimized geometry

Structure (CIF):
```
data_AlP2OsF
_chemical_formula_sum 'Al1 P2 Os1 F1'
_space_group_name_H-M_alt 'P 1'
_space_group_IT_number 1
_cell_length_a 4.357
_cell_length_b 4.061
_cell_length_c 4.357
_cell_angle_alpha 90.00
_cell_angle_beta 90.00
_cell_angle_gamma 90.00
loop_
_space_group_symop_operation_xyz
'x,y,z'
loop_
_atom_site_label
_atom_site_type_symbol
_atom_site_fract_x
_atom_site_fract_y
_atom_site_fract_z
_atom_site_occupancy
Al1 Al 0.500 0.500 0.500 1
Os1 Os 0.000 0.500 0.000 1
P1 P 0.000 0.000 0.500 1
F1 F 0.000 0.000 0.000 1
P2 P 0.500 0.000 0.000 1
```

***

8.
Compound: AlOs2RhF
Source: Alexandria
Functional: PBE
Structure: optimized geometry

Structure (CIF):
```
data_AlOs2RhF
_chemical_formula_sum 'Al1 Os2 Rh1 F1'
_space_group_name_H-M_alt 'P 1'
_space_group_IT_number 1
_cell_length_a 4.504
_cell_length_b 4.464
_cell_length_c 4.504
_cell_angle_alpha 90.00
_cell_angle_beta 90.00
_cell_angle_gamma 90.00
loop_
_space_group_symop_operation_xyz
'x,y,z'
loop_
_atom_site_label
_atom_site_type_symbol
_atom_site_fract_x
_atom_site_fract_y
_atom_site_fract_z
_atom_site_occupancy
F1 F 0.500 0.500 0.500 1
Al1 Al 0.000 0.000 0.000 1
Os1 Os 0.000 0.000 0.500 1
Rh1 Rh 0.000 0.500 0.000 1
Os2 Os 0.500 0.000 0.000 1
```

***

9.
Compound: Al2OsSeF
Source: Alexandria
Functional: PBE
Structure: optimized geometry

Structure (CIF):
```
data_Al2OsSeF
_chemical_formula_sum 'Al2 Os1 Se1 F1'
_space_group_name_H-M_alt 'P 1'
_space_group_IT_number 1
_cell_length_a 5.135
_cell_length_b 4.453
_cell_length_c 5.135
_cell_angle_alpha 90.00
_cell_angle_beta 90.00
_cell_angle_gamma 90.00
loop_
_space_group_symop_operation_xyz
'x,y,z'
loop_
_atom_site_label
_atom_site_type_symbol
_atom_site_fract_x
_atom_site_fract_y
_atom_site_fract_z
_atom_site_occupancy
F1 F 0.500 0.500 0.500 1
Al1 Al 0.500 0.000 0.000 1
Os1 Os 0.000 0.500 0.000 1
Al2 Al 0.000 0.000 0.500 1
Se1 Se 0.000 0.000 0.000 1
```

***

10.
Compound: AlP3F
Source: Alexandria
Functional: PBE
Structure: optimized geometry

Structure (CIF):
```
data_AlP3F
_chemical_formula_sum 'Al1 P3 F1'
_space_group_name_H-M_alt 'P 1'
_space_group_IT_number 1
_cell_length_a 4.323
_cell_length_b 4.323
_cell_length_c 4.323
_cell_angle_alpha 90.00
_cell_angle_beta 90.00
_cell_angle_gamma 90.00
loop_
_space_group_symop_operation_xyz
'x,y,z'
loop_
_atom_site_label
_atom_site_type_symbol
_atom_site_fract_x
_atom_site_fract_y
_atom_site_fract_z
_atom_site_occupancy
P1 P 0.500 0.000 0.000 1
Al1 Al 0.500 0.500 0.500 1
P2 P 0.000 0.000 0.500 1
F1 F 0.000 0.000 0.000 1
P3 P 0.000 0.500 0.000 1
```

***

11.
Compound: AlPF2
Source: Alexandria
Functional: PBE
Structure: optimized geometry

Structure (CIF):
```
data_AlPF2
_chemical_formula_sum 'Al1 P1 F2'
_space_group_name_H-M_alt 'P 1'
_space_group_IT_number 1
_cell_length_a 4.247
_cell_length_b 4.247
_cell_length_c 4.247
_cell_angle_alpha 60.00
_cell_angle_beta 60.00
_cell_angle_gamma 60.00
loop_
_space_group_symop_operation_xyz
'x,y,z'
loop_
_atom_site_label
_atom_site_type_symbol
_atom_site_fract_x
_atom_site_fract_y
_atom_site_fract_z
_atom_site_occupancy
P1 P 0.500 0.500 0.500 1
F1 F 0.750 0.750 0.750 1
F2 F 0.250 0.250 0.250 1
Al1 Al 0.000 0.000 0.000 1
```

***

12.
Compound: Al3PF
Source: Alexandria
Functional: PBE
Structure: optimized geometry

Structure (CIF):
```
data_Al3PF
_chemical_formula_sum 'Al3 P1 F1'
_space_group_name_H-M_alt 'P 1'
_space_group_IT_number 1
_cell_length_a 4.444
_cell_length_b 4.444
_cell_length_c 4.444
_cell_angle_alpha 90.00
_cell_angle_beta 90.00
_cell_angle_gamma 90.00
loop_
_space_group_symop_operation_xyz
'x,y,z'
loop_
_atom_site_label
_atom_site_type_symbol
_atom_site_fract_x
_atom_site_fract_y
_atom_site_fract_z
_atom_site_occupancy
Al1 Al 0.000 0.000 0.500 1
Al2 Al 0.000 0.500 0.000 1
Al3 Al 0.500 0.000 0.000 1
P1 P 0.500 0.500 0.500 1
F1 F 0.000 0.000 0.000 1
```

***

The calculation returns the following VASP energy values, one per record and in order: -34.95; -35.42; -21.79; -25.37; -43.34; -26.03; -22.81; -26.62; -19.68; -18.47; -14.58; -18.61 eV per cell.